Record 1
Below is an optimized crystal structure of NaAcLaAl, with properties calculated at the PBE level. Values from VASP.

Quantum ESPRESSO input file:
```
&SYSTEM
  ibrav = 0, nat = 4, ntyp = 4
/
ATOMIC_SPECIES
Na 22.99 Na.upf
Al 26.98 Al.upf
Ac 227.00 Ac.upf
La 138.91 La.upf
CELL_PARAMETERS angstrom
-5.348 -0.356 -1.776
-3.055 -4.608 1.147
-4.235 0.276 3.724
ATOMIC_POSITIONS angstrom
Na 0.000 0.000 0.000
Al -6.319 -2.344 1.548
Ac -9.479 -3.517 2.322
La -3.160 -1.172 0.774
```

E (eV per atom): -3.5699
Fermi-level density of states (states/eV/cell): 4.819

=====

Record 2
Below is an optimized crystal structure of AcLaNdAl, with properties calculated at the PBE level. Values from VASP.

Quantum ESPRESSO input file:
```
&SYSTEM
  ibrav = 0, nat = 4, ntyp = 4
/
ATOMIC_SPECIES
Nd 144.24 Nd.upf
Al 26.98 Al.upf
La 138.91 La.upf
Ac 227.00 Ac.upf
CELL_PARAMETERS angstrom
5.674 0.000 0.000
2.837 4.914 0.000
2.837 1.638 4.633
ATOMIC_POSITIONS angstrom
Nd 0.000 0.000 0.000
Al 2.837 1.638 1.158
La 5.674 3.276 2.317
Ac 8.511 4.914 3.475
```

E (eV per atom): -4.3579
Fermi-level density of states (states/eV/cell): 7.124

=====

- Which value of E does entry 1 give?
  -3.5699 eV per atom